1.
## Hf4Zr2Si3N3 (PBE)

Data for Hf4Zr2Si3N3 after structural relaxation.

The structure belongs to space group C2/c (No. 15); the cell edges are 9.658, 5.581 and 13.804 Å and the angles 90.00°, 103.53° and 90.00°. The distinct sites, in fractional coordinates, are Hf at (0.115, 0.085, 0.094), Hf at (0.220, 0.082, 0.406), Zr at (0.049, 0.418, 0.900), Si at (0.000, 0.063, 0.750), Si at (0.176, 0.405, 0.250), N at (0.085, 0.245, 0.500) and N at (0.250, 0.250, 0.000).

Its uncorrected energy is -0.6844 Ry/atom.



2.
## LuInAgPd (PBE)

Data for LuInAgPd after structural relaxation.

The structure belongs to space group F-43m (No. 216); the cell edges are 6.840, 6.840 and 6.840 Å and the angles 90.00°, 90.00° and 90.00°. The distinct sites, in fractional coordinates, are Lu at (0.000, 0.000, 0.000), In at (0.250, 0.250, 0.250), Ag at (0.000, 0.000, 0.500) and Pd at (0.250, 0.250, 0.750).

As for the energy above the lowest structure with this stoichiometry: 68 kJ/mol of formula units.



3.
## GdErNi2Sn2 (PBE)

Data for GdErNi2Sn2 after structural relaxation.

The structure belongs to space group P3m1 (No. 156); the cell edges are 4.4945, 4.4945 and 7.1633 Å and the angles 90.00°, 90.00° and 120.00°. The distinct sites, in fractional coordinates, are Gd at (0.0000, 0.0000, 0.0000), Er at (0.0000, 0.0000, 0.5007), Ni at (0.3333, 0.6667, 0.3185), Ni at (0.6667, 0.3333, 0.7974), Sn at (0.3333, 0.6667, 0.7302) and Sn at (0.6667, 0.3333, 0.2449).

Its uncorrected energy is -0.3937 Ry/atom.



4.
## LiNbCd (PBE)

Data for LiNbCd after structural relaxation.

The structure belongs to space group F-43m (No. 216); the cell edges are 6.373, 6.373 and 6.373 Å and the angles 90.00°, 90.00° and 90.00°. The distinct sites, in fractional coordinates, are Li at (0.000, 0.000, 0.000), Nb at (0.250, 0.250, 0.750) and Cd at (0.000, 0.000, 0.500).

As for the energy above the lowest structure with this stoichiometry: 83 kJ/mol of formula units.



5.
## NaBiAu (PBE)

Data for NaBiAu after structural relaxation.

The structure belongs to space group F-43m (No. 216); the cell edges are 6.771, 6.771 and 6.771 Å and the angles 90.00°, 90.00° and 90.00°. The distinct sites, in fractional coordinates, are Na at (0.000, 0.000, 0.000), Bi at (0.250, 0.250, 0.250) and Au at (0.250, 0.250, 0.750).

As for the energy above the lowest structure with this stoichiometry: 124 kJ/mol of formula units.



6.
## PrEr2Mg3Tl2Zn (PBE)

Data for PrEr2Mg3Tl2Zn after structural relaxation.

The structure belongs to space group Amm2 (No. 38); the cell edges are 4.608, 13.222 and 7.428 Å and the angles 90.00°, 90.00° and 90.00°. The distinct sites, in fractional coordinates, are Pr at (0.000, 0.000, 0.000), Er at (0.000, 0.207, 0.381), Mg at (0.500, 0.000, 0.348), Mg at (0.500, 0.117, 0.701), Tl at (0.500, 0.171, 0.088) and Zn at (0.000, 0.000, 0.573).

Its uncorrected energy is -0.2234 Ry/atom.



7.
## HfTc2Sn (PBE)

Data for HfTc2Sn after structural relaxation.

The structure belongs to space group P6_3/mmc (No. 194); the cell edges are 4.7733, 4.7733 and 7.7747 Å and the angles 90.00°, 90.00° and 120.00°. The distinct sites, in fractional coordinates, are Hf at (0.3333, 0.6667, 0.2500), Tc at (0.3333, 0.6667, 0.5913) and Sn at (0.0000, 0.0000, 0.2500).

Its uncorrected energy is -0.6145 Ry/atom.



8.
## SrMgZnSn2 (PBE)

Data for SrMgZnSn2 after structural relaxation.

The structure belongs to space group P4/nmm (No. 129, origin choice 2); the cell edges are 4.729, 4.729 and 11.881 Å and the angles 90.00°, 90.00° and 90.00°. The distinct sites, in fractional coordinates, are Sr at (0.250, 0.250, 0.241), Mg at (0.250, 0.750, 0.500), Zn at (0.250, 0.250, 0.868), Sn at (0.250, 0.250, 0.645) and Sn at (0.250, 0.750, 0.000).

As for the energy above the lowest structure with this stoichiometry: 0 kJ/mol of formula units.



9.
## PaZnAs (PBE)

Data for PaZnAs after structural relaxation.

The structure belongs to space group F-43m (No. 216); the cell edges are 6.549, 6.549 and 6.549 Å and the angles 90.00°, 90.00° and 90.00°. The distinct sites, in fractional coordinates, are Pa at (0.000, 0.000, 0.000), Zn at (0.000, 0.000, 0.500) and As at (0.250, 0.250, 0.250).

Its uncorrected energy is -0.3817 Ry/atom.



10.
## RbSiPd (PBE)

Data for RbSiPd after structural relaxation.

The structure belongs to space group F-43m (No. 216); the cell edges are 6.825, 6.825 and 6.825 Å and the angles 90.00°, 90.00° and 90.00°. The distinct sites, in fractional coordinates, are Rb at (0.000, 0.000, 0.000), Si at (0.000, 0.000, 0.500) and Pd at (0.250, 0.250, 0.250).

As for the energy above the lowest structure with this stoichiometry: 0 kJ/mol of formula units.



11.
## LiPdNO (PBE)

Data for LiPdNO after structural relaxation.

The structure belongs to space group P4/nmm (No. 129, origin choice 2); the cell edges are 3.266, 3.266 and 7.237 Å and the angles 90.00°, 90.00° and 90.00°. The distinct sites, in fractional coordinates, are Li at (0.250, 0.750, 0.000), Pd at (0.250, 0.250, 0.310), N at (0.250, 0.250, 0.827) and O at (0.250, 0.750, 0.500).

As for the energy above the lowest structure with this stoichiometry: 268 kJ/mol of formula units.



12.
## SmTlCd (PBE)

Data for SmTlCd after structural relaxation.

The structure belongs to space group F-43m (No. 216); the cell edges are 7.071, 7.071 and 7.071 Å and the angles 90.00°, 90.00° and 90.00°. The distinct sites, in fractional coordinates, are Sm at (0.000, 0.000, 0.000), Tl at (0.250, 0.250, 0.750) and Cd at (0.000, 0.000, 0.500).

Its uncorrected energy is -0.2124 Ry/atom.



13.
## Sc2HgO4 (PBE)

Data for Sc2HgO4 after structural relaxation.

The structure belongs to space group Fd-3m (No. 227, origin choice 2); the cell edges are 9.096, 9.096 and 9.096 Å and the angles 90.00°, 90.00° and 90.00°. The distinct sites, in fractional coordinates, are Sc at (0.000, 0.000, 0.000), Hg at (0.125, 0.125, 0.625) and O at (0.018, 0.018, 0.232).

Its uncorrected energy is -0.5339 Ry/atom.



14.
## BaHoAgTeS2 (PBE)

Data for BaHoAgTeS2 after structural relaxation.

The structure belongs to space group Cmcm (No. 63); the cell edges are 4.170, 14.986 and 11.068 Å and the angles 90.00°, 90.00° and 90.00°. The distinct sites, in fractional coordinates, are Ba at (0.000, 0.213, 0.250), Ho at (0.000, 0.000, 0.000), Ag at (0.000, 0.483, 0.750), Te at (0.000, 0.103, 0.750) and S at (0.000, 0.384, 0.565).

Its uncorrected energy is -0.3601 Ry/atom.



15.
## TlHgPd2 (PBE)

Data for TlHgPd2 after structural relaxation.

The structure belongs to space group F-43m (No. 216); the cell edges are 6.671, 6.671 and 6.671 Å and the angles 90.00°, 90.00° and 90.00°. The distinct sites, in fractional coordinates, are Tl at (0.000, 0.000, 0.000), Hg at (0.250, 0.250, 0.250), Pd at (0.000, 0.000, 0.500) and Pd at (0.250, 0.250, 0.750).

Its uncorrected energy is -0.2371 Ry/atom.



16.
## Sc4NiAsC2 (PBE)

Data for Sc4NiAsC2 after structural relaxation.

The structure belongs to space group P-6m2 (No. 187); the cell edges are 3.3582, 3.3582 and 12.9347 Å and the angles 90.00°, 90.00° and 120.00°. The distinct sites, in fractional coordinates, are Sc at (0.0000, 0.0000, 0.1484), Sc at (0.3333, 0.6667, 0.3390), Ni at (0.3333, 0.6667, 0.0000), As at (0.0000, 0.0000, 0.5000) and C at (0.6667, 0.3333, 0.2444).

Its uncorrected energy is -0.5384 Ry/atom.



17.
## GdZr6Pb4 (PBE)

Data for GdZr6Pb4 after structural relaxation.

The structure belongs to space group R-3m (No. 166, hexagonal axes); the cell edges are 6.1551, 6.1551 and 24.4505 Å and the angles 90.00°, 90.00° and 120.00°. The distinct sites, in fractional coordinates, are Gd at (0.0000, 0.0000, 0.0000), Zr at (0.0038, 0.5019, 0.1054), Pb at (0.0000, 0.0000, 0.1236) and Pb at (0.0000, 0.0000, 0.3327).

Its uncorrected energy is -0.4941 Ry/atom.



18.
## HfZrSbAs (PBE)

Data for HfZrSbAs after structural relaxation.

The structure belongs to space group P6_3mc (No. 186); the cell edges are 3.9222, 3.9222 and 13.3308 Å and the angles 90.00°, 90.00° and 120.00°. The distinct sites, in fractional coordinates, are Hf at (0.3333, 0.6667, 0.0000), Zr at (0.3333, 0.6667, 0.7149), Sb at (0.3333, 0.6667, 0.3587) and As at (0.0000, 0.0000, 0.1050).

As for the energy above the lowest structure with this stoichiometry: 0 kJ/mol of formula units.



19.
## Y2Tl8Co (PBE)

Data for Y2Tl8Co after structural relaxation.

The structure belongs to space group P4/mmm (No. 123); the cell edges are 4.741, 4.741 and 12.604 Å and the angles 90.00°, 90.00° and 90.00°. The distinct sites, in fractional coordinates, are Y at (0.000, 0.000, 0.198), Tl at (0.000, 0.500, 0.000), Tl at (0.000, 0.500, 0.380), Tl at (0.500, 0.500, 0.189) and Co at (0.000, 0.000, 0.500).

Its uncorrected energy is -0.2657 Ry/atom.



20.
## PuTlZn (PBE)

Data for PuTlZn after structural relaxation.

The structure belongs to space group F-43m (No. 216); the cell edges are 7.123, 7.123 and 7.123 Å and the angles 90.00°, 90.00° and 90.00°. The distinct sites, in fractional coordinates, are Pu at (0.000, 0.000, 0.000), Tl at (0.250, 0.250, 0.750) and Zn at (0.250, 0.250, 0.250).

Its uncorrected energy is -0.4072 Ry/atom.



21.
## Fe2P3S (PBE)

Data for Fe2P3S after structural relaxation.

The structure belongs to space group Pm (No. 6); the cell edges are 4.836, 2.882 and 5.587 Å and the angles 90.00°, 90.35° and 90.00°. The distinct sites, in fractional coordinates, are Fe at (0.000, 0.000, 0.000), Fe at (0.495, 0.500, 0.496), P at (0.325, 0.500, 0.867), P at (0.672, 0.500, 0.128), P at (0.817, 0.000, 0.636) and S at (0.172, 0.000, 0.371).

Its uncorrected energy is -0.4889 Ry/atom.



22.
## HfTaAu2 (PBE)

Data for HfTaAu2 after structural relaxation.

The structure belongs to space group F-43m (No. 216); the cell edges are 6.676, 6.676 and 6.676 Å and the angles 90.00°, 90.00° and 90.00°. The distinct sites, in fractional coordinates, are Hf at (0.000, 0.000, 0.000), Ta at (0.250, 0.250, 0.750), Au at (0.000, 0.000, 0.500) and Au at (0.250, 0.250, 0.250).

Its formation energy is 0.104 eV per atom.



23.
## As2Au2O5 (PBE)

Data for As2Au2O5 after structural relaxation.

The structure belongs to space group P4/mmm (No. 123); the cell edges are 4.133, 4.133 and 6.973 Å and the angles 90.00°, 90.00° and 90.00°. The distinct sites, in fractional coordinates, are As at (0.000, 0.000, 0.000), As at (0.000, 0.000, 0.500), Au at (0.500, 0.500, 0.194), O at (0.000, 0.500, 0.198) and O at (0.500, 0.500, 0.500).

As for the energy above the lowest structure with this stoichiometry: 471 kJ/mol of formula units.



24.
## Y2ErIn3AgIr2 (PBE)

Data for Y2ErIn3AgIr2 after structural relaxation.

The structure belongs to space group Amm2 (No. 38); the cell edges are 3.825, 13.312 and 7.751 Å and the angles 90.00°, 90.00° and 90.00°. The distinct sites, in fractional coordinates, are Y at (0.000, 0.206, 0.000), Er at (0.000, 0.000, 0.618), In at (0.500, 0.000, 0.937), In at (0.500, 0.135, 0.340), Ag at (0.000, 0.000, 0.207) and Ir at (0.500, 0.164, 0.704).

Its uncorrected energy is -0.4227 Ry/atom.



25.
## Zr3Zn2Pd (PBE)

Data for Zr3Zn2Pd after structural relaxation.

The structure belongs to space group P4mm (No. 99); the cell edges are 3.391, 3.391 and 9.828 Å and the angles 90.00°, 90.00° and 90.00°. The distinct sites, in fractional coordinates, are Zr at (0.000, 0.000, 0.000), Zr at (0.000, 0.000, 0.334), Zr at (0.500, 0.500, 0.797), Zn at (0.000, 0.000, 0.629), Zn at (0.500, 0.500, 0.168) and Pd at (0.500, 0.500, 0.494).

Its formation energy is -0.368 eV per atom.